Entry 1:
The following is a DFT calculation (GGA-PBE) of a relaxed Cs5H crystal.

Geometry as extended XYZ:
```
12
Lattice="8.6034 0.8677 -3.1237 -3.0113 8.4770 -1.8977 0.3109 -0.7555 13.2598" Properties=species:S:1:pos:R:3 pbc="T T T"
Cs 1.1676 2.0260 11.6883
Cs -0.5831 6.1409 9.3885
Cs 2.8827 2.5438 6.5541
Cs 3.3950 8.0942 5.9552
Cs -0.7051 6.2885 4.2996
Cs 6.6081 2.3007 3.9388
Cs 2.5080 0.4950 2.2831
Cs 3.0203 6.0453 1.6842
Cs 6.4861 2.4483 -1.1501
Cs 4.7354 6.5632 -3.4499
H 0.0000 0.0000 0.0000
H 4.4571 0.0561 5.0680
```

Properties
The raw total energy comes out at -1.27 eV per atom. Its offset from the most stable computed form is 0 meV per atom. The calculation puts the magnetic moment at 0.0 μB/cell.

=====

Entry 2:
The following is a DFT calculation (GGA-PBE) of a relaxed MoOs2Cl crystal.

Geometry as extended XYZ:
```
4
Lattice="-2.5162 -2.4845 2.6244 1.3699 -0.9964 4.0647 -1.9844 1.7992 3.4952" Properties=species:S:1:pos:R:3 pbc="T T T"
Cl -1.5653 -0.8408 5.0921
Mo -0.7827 -0.4204 2.5461
Os 0.0000 0.0000 0.0000
Os -2.3480 -1.2612 7.6382
```

Properties
The raw total energy comes out at -7.82 eV per atom. Its offset from the most stable computed form is 495 meV per atom. The calculation puts the magnetic moment at 0.0 μB/cell. The calculation puts the uncorrected formation energy at 3.9 eV/f.u.